4
Lattice="2.718 1.569 6.911 -2.718 1.569 6.911 0.000 -3.139 6.911" Properties=species:S:1:pos:R:3 comment="PmBi | Alexandria via LeMat-Bulk | PBE | optimized geometry" mass_density_g_cm3=6.65 de_polymorph_kj_per_mol_fu=112 pbc="T T T"
Pm 0.000 0.000 2.040
Pm 0.000 0.000 18.693
Bi 0.000 0.000 5.220
Bi 0.000 0.000 15.513